Entry 1:
KIn2Ge2: optimized geometry, PBE.

Results
ρ (g/cm³): 4.96
Relative energy among the computed polymorphs (meV/atom): 24.6
Formation energy (eV/f.u.): -0.3

Unit cell a=4.875 b=4.875 c=11.661 alpha=90.00 beta=90.00 gamma=90.00
Element x y z (fractional)
K: 0.000 0.000 0.000
K: 0.500 0.500 0.500
In: 0.000 0.000 0.375
In: 0.000 0.000 0.625
In: 0.500 0.500 0.125
In: 0.500 0.500 0.875
Ge: 0.000 0.500 0.250
Ge: 0.000 0.500 0.750
Ge: 0.500 0.000 0.250
Ge: 0.500 0.000 0.750

---

Entry 2:
KInGe4: optimized geometry, PBE.

Results
ρ (g/cm³): 5.35
Formation energy (eV/f.u.): 0.8

Unit cell a=5.799 b=5.799 c=5.799 alpha=60.00 beta=60.00 gamma=60.00
Element x y z (fractional)
K: 0.000 0.000 0.000
In: 0.250 0.250 0.250
Ge: 0.125 0.625 0.625
Ge: 0.625 0.125 0.625
Ge: 0.625 0.625 0.125
Ge: 0.625 0.625 0.625

---

Entry 3:
KIn2Ge: optimized geometry, PBE.

Results
ρ (g/cm³): 4.87
Formation energy (eV/f.u.): 0.0

Unit cell a=3.705 b=3.705 c=8.481 alpha=90.00 beta=90.00 gamma=90.00
Element x y z (fractional)
K: 0.000 0.000 0.000
In: 0.500 0.500 0.310
In: 0.500 0.500 0.690
Ge: 0.000 0.000 0.500